Record 1
Below is a relaxed Ti2CuAs2 crystal, with properties calculated at the PBE level.

E = -6.38 eV per atom
Space-group type = P4/mbm
Calculated volume = 79.8 Å³/f.u.
Energy relative to the elements = -2.7 eV per formula unit

Unit cell a=6.851 b=6.851 c=3.402 alpha=90.00 beta=90.00 gamma=90.00
Sites, in units of the cell vectors:
Ti1 0.147 0.353 0.000
Ti2 0.353 0.853 0.000
Ti3 0.647 0.147 0.000
Ti4 0.853 0.647 0.000
Cu1 0.000 0.000 0.500
Cu2 0.500 0.500 0.500
As1 0.153 0.653 0.500
As2 0.347 0.153 0.500
As3 0.653 0.847 0.500
As4 0.847 0.347 0.500

=====

Record 2
Below is a relaxed BaY2Hg2 crystal, with properties calculated at the PBE level.

E = -3.26 eV per atom
Space-group type = I4/mmm
Calculated volume = 180.7 Å³/f.u.
Energy relative to the elements = -0.8 eV per formula unit

Unit cell a=7.031 b=7.031 c=7.031 alpha=133.33 beta=133.33 gamma=68.14
Sites, in units of the cell vectors:
Ba1 0.000 0.000 0.000
Y1 0.346 0.346 0.000
Y2 0.654 0.654 0.000
Hg1 0.250 0.750 0.500
Hg2 0.750 0.250 0.500

=====

Record 3
Below is a relaxed K2SrGa crystal, with properties calculated at the PBE level.

E = -1.55 eV per atom
Space-group type = I-42d
Calculated volume = 177.5 Å³/f.u.
Energy relative to the elements = 0.7 eV per formula unit

Unit cell a=14.439 b=14.439 c=14.439 alpha=159.91 beta=159.91 gamma=28.56
Sites, in units of the cell vectors:
K1 0.100 0.625 0.975
K2 0.375 0.350 0.475
K3 0.650 0.125 0.025
K4 0.875 0.900 0.525
Sr1 0.250 0.750 0.500
Sr2 0.500 0.500 0.000
Ga1 0.000 0.000 0.000
Ga2 0.750 0.250 0.500

=====

Record 4
Below is a relaxed LiIn2Re crystal, with properties calculated at the PBE level.

E = -4.71 eV per atom
Space-group type = Cmmm
Calculated volume = 70.7 Å³/f.u.
Energy relative to the elements = 1.0 eV per formula unit

Unit cell a=4.664 b=4.664 c=3.252 alpha=90.00 beta=90.00 gamma=90.10
Sites, in units of the cell vectors:
Li1 0.000 0.000 0.000
In1 0.000 0.500 0.500
In2 0.500 0.000 0.500
Re1 0.500 0.500 0.000

=====

Record 5
Below is a relaxed CaTaRu2Pt crystal, with properties calculated at the PBE level.

E = -6.14 eV per atom
Space-group type = P4/mmm
Calculated volume = 112.2 Å³/f.u.
Energy relative to the elements = 7.7 eV per formula unit

Unit cell a=4.810 b=4.810 c=4.848 alpha=90.00 beta=90.00 gamma=90.00
Sites, in units of the cell vectors:
Ca1 0.000 0.000 0.000
Ta1 0.500 0.500 0.000
Ru1 0.000 0.500 0.500
Ru2 0.500 0.000 0.500
Pt1 0.000 0.000 0.500

=====

Record 6
Below is a relaxed Y3TiPt crystal, with properties calculated at the PBE level.

E = -6.68 eV per atom
Space-group type = Pm-3m
Calculated volume = 158.8 Å³/f.u.
Energy relative to the elements = -0.1 eV per formula unit

Unit cell a=5.415 b=5.415 c=5.415 alpha=90.00 beta=90.00 gamma=90.00
Sites, in units of the cell vectors:
Y1 0.000 0.000 0.500
Y2 0.000 0.500 0.000
Y3 0.500 0.000 0.000
Ti1 0.500 0.500 0.500
Pt1 0.000 0.000 0.000

=====

Question: Which formula does entry 4 have?
Answer: LiIn2Re

=====

Question: The highest energy relative to the elements belongs to which entry?
Answer: CaTaRu2Pt

=====

Question: What is the calculated volume in the fourth record?
Answer: 70.7 Å³/f.u.

=====

Question: Number 5 is which compound?
Answer: CaTaRu2Pt